No. 1
Here is a geometry-optimized PmHo8Tm2 structure from Alexandria. Energies are from PBE.

CIF file:
```
data_PmHo8Tm2
_chemical_formula_sum 'Pm2 Ho16 Tm4'
_cell_length_a 5.461
_cell_length_b 8.075
_cell_length_c 15.805
_cell_angle_alpha 90.00
_cell_angle_beta 90.00
_cell_angle_gamma 90.00
_symmetry_space_group_name_H-M 'I m m m'
_symmetry_Int_Tables_number 71
_symmetry_space_group_name_Hall '-I 2 2'
loop_
_atom_site_label
_atom_site_type_symbol
_atom_site_fract_x
_atom_site_fract_y
_atom_site_fract_z
Pm1 Pm 0.000 0.000 0.000
Ho1 Ho 0.000 0.205 0.500
Ho2 Ho 0.000 0.293 0.140
Ho3 Ho 0.000 0.500 0.336
Tm1 Tm 0.000 0.000 0.300
```

Calculated values
* offset from the most stable computed form: 0 meV/atom
* crystal system: orthorhombic
* DFT formation energy: 0.117 eV per atom
* VASP energy: -4.457 eV per atom

No. 2
Here is a geometry-optimized Pm4Ho2Tm5 structure from Alexandria. Energies are from PBE.

CIF file:
```
data_Pm4Ho2Tm5
_chemical_formula_sum 'Pm8 Ho4 Tm10'
_cell_length_a 23.167
_cell_length_b 3.497
_cell_length_c 8.737
_cell_angle_alpha 90.00
_cell_angle_beta 93.03
_cell_angle_gamma 90.00
_symmetry_space_group_name_H-M 'C 1 2/m 1'
_symmetry_Int_Tables_number 12
loop_
_symmetry_equiv_pos_as_xyz
'x,y,z'
'-x,-y,-z'
'-x,y,-z'
'x,-y,z'
'x+1/2,y+1/2,z'
'-x+1/2,-y+1/2,-z'
'-x+1/2,y+1/2,-z'
'x+1/2,-y+1/2,z'
loop_
_atom_site_label
_atom_site_type_symbol
_atom_site_fract_x
_atom_site_fract_y
_atom_site_fract_z
Pm1 Pm 0.045 0.000 0.348
Pm2 Pm 0.183 0.500 0.426
Ho1 Ho 0.135 0.000 0.082
Tm1 Tm 0.000 0.500 0.000
Tm2 Tm 0.098 0.000 0.718
Tm3 Tm 0.222 0.500 0.838
```

Calculated values
* offset from the most stable computed form: 0 meV/atom
* crystal system: monoclinic
* DFT formation energy: 0.090 eV per atom
* VASP energy: -4.502 eV per atom

No. 3
Here is a geometry-optimized Pm12Ho5Tm2 structure from Alexandria. Energies are from PBE.

CIF file:
```
data_Pm12Ho5Tm2
_chemical_formula_sum 'Pm24 Ho10 Tm4'
_cell_length_a 17.834
_cell_length_b 11.681
_cell_length_c 6.204
_cell_angle_alpha 90.00
_cell_angle_beta 102.51
_cell_angle_gamma 90.00
_symmetry_space_group_name_H-M 'C 1 2/m 1'
_symmetry_Int_Tables_number 12
loop_
_symmetry_equiv_pos_as_xyz
'x,y,z'
'-x,-y,-z'
'-x,y,-z'
'x,-y,z'
'x+1/2,y+1/2,z'
'-x+1/2,-y+1/2,-z'
'-x+1/2,y+1/2,-z'
'x+1/2,-y+1/2,z'
loop_
_atom_site_label
_atom_site_type_symbol
_atom_site_fract_x
_atom_site_fract_y
_atom_site_fract_z
Pm1 Pm 0.056 0.000 0.274
Pm2 Pm 0.104 0.252 0.617
Pm3 Pm 0.119 0.500 0.004
Pm4 Pm 0.196 0.243 0.198
Ho1 Ho 0.000 0.500 0.500
Ho2 Ho 0.178 0.000 0.860
Ho3 Ho 0.216 0.500 0.556
Tm1 Tm 0.000 0.268 0.000
```

Calculated values
* offset from the most stable computed form: 0 meV/atom
* crystal system: monoclinic
* DFT formation energy: 0.101 eV per atom
* VASP energy: -4.574 eV per atom

No. 4
Here is a geometry-optimized PmHo12Tm3 structure from Alexandria. Energies are from PBE.

CIF file:
```
data_PmHo12Tm3
_chemical_formula_sum 'Pm1 Ho12 Tm3'
_cell_length_a 4.985
_cell_length_b 4.985
_cell_length_c 19.930
_cell_angle_alpha 90.00
_cell_angle_beta 90.00
_cell_angle_gamma 90.00
_symmetry_space_group_name_H-M 'P 4/m m m'
_symmetry_Int_Tables_number 123
_symmetry_space_group_name_Hall '-P 4 2'
loop_
_atom_site_label
_atom_site_type_symbol
_atom_site_fract_x
_atom_site_fract_y
_atom_site_fract_z
Pm1 Pm 0.000 0.000 0.000
Ho1 Ho 0.000 0.500 0.127
Ho2 Ho 0.000 0.500 0.376
Ho3 Ho 0.500 0.500 0.000
Ho4 Ho 0.500 0.500 0.252
Ho5 Ho 0.500 0.500 0.500
Tm1 Tm 0.000 0.000 0.251
Tm2 Tm 0.000 0.000 0.500
```

Calculated values
* crystal system: tetragonal
* DFT formation energy: 0.022 eV per atom
* VASP energy: -4.547 eV per atom

No. 5
Here is a geometry-optimized Pm19Ho4Tm6 structure from Alexandria. Energies are from PBE.

CIF file:
```
data_Pm19Ho4Tm6
_chemical_formula_sum 'Pm38 Ho8 Tm12'
_cell_length_a 12.606
_cell_length_b 12.606
_cell_length_c 12.606
_cell_angle_alpha 90.00
_cell_angle_beta 90.00
_cell_angle_gamma 90.00
_symmetry_space_group_name_H-M 'I 2 3'
_symmetry_Int_Tables_number 197
_symmetry_space_group_name_Hall 'I 2 2 3'
loop_
_atom_site_label
_atom_site_type_symbol
_atom_site_fract_x
_atom_site_fract_y
_atom_site_fract_z
Pm1 Pm 0.000 0.000 0.000
Pm2 Pm 0.000 0.000 0.262
Pm3 Pm 0.062 0.280 0.737
Ho1 Ho 0.180 0.180 0.180
Tm1 Tm 0.000 0.125 0.500
```

Calculated values
* crystal system: cubic
* DFT formation energy: 0.373 eV per atom
* VASP energy: -4.296 eV per atom

No. 6
Here is a geometry-optimized Pm3Ho5Tm4 structure from Alexandria. Energies are from PBE.

CIF file:
```
data_Pm3Ho5Tm4
_chemical_formula_sum 'Pm3 Ho5 Tm4'
_cell_length_a 6.134
_cell_length_b 7.084
_cell_length_c 8.670
_cell_angle_alpha 90.00
_cell_angle_beta 89.92
_cell_angle_gamma 89.87
_symmetry_space_group_name_H-M 'P -1'
_symmetry_Int_Tables_number 2
loop_
_symmetry_equiv_pos_as_xyz
'x,y,z'
'-x,-y,-z'
loop_
_atom_site_label
_atom_site_type_symbol
_atom_site_fract_x
_atom_site_fract_y
_atom_site_fract_z
Pm1 Pm 0.000 0.000 0.000
Pm2 Pm 0.166 0.251 0.334
Ho1 Ho 0.000 0.500 0.000
Ho2 Ho 0.335 0.000 0.666
Ho3 Ho 0.499 0.749 0.000
Tm1 Tm 0.168 0.749 0.334
Tm2 Tm 0.334 0.500 0.667
```

Calculated values
* offset from the most stable computed form: 0 meV/atom
* crystal system: triclinic
* DFT formation energy: 0.021 eV per atom
* VASP energy: -4.565 eV per atom

No. 7
Here is a geometry-optimized Pm2Ho3Tm3 structure from Alexandria. Energies are from PBE.

CIF file:
```
data_Pm2Ho3Tm3
_chemical_formula_sum 'Pm6 Ho9 Tm9'
_cell_length_a 8.6929
_cell_length_b 8.6929
_cell_length_c 11.8132
_cell_angle_alpha 90.00
_cell_angle_beta 90.00
_cell_angle_gamma 120.00
_symmetry_space_group_name_H-M 'R 3 2'
_symmetry_Int_Tables_number 155
_symmetry_space_group_name_Hall 'R 3 2"'
loop_
_atom_site_label
_atom_site_type_symbol
_atom_site_fract_x
_atom_site_fract_y
_atom_site_fract_z
Pm1 Pm 0.0000 0.0000 0.2414
Ho1 Ho 0.0000 0.7646 0.0000
Tm1 Tm 0.0000 0.2329 0.5000
```

Calculated values
* offset from the most stable computed form: 204 meV/atom
* crystal system: trigonal
* DFT formation energy: 0.229 eV per atom
* VASP energy: -4.352 eV per atom

No. 8
Here is a geometry-optimized Pm6HoTm12 structure from Alexandria. Energies are from PBE.

CIF file:
```
data_Pm6HoTm12
_chemical_formula_sum 'Pm18 Ho3 Tm36'
_cell_length_a 13.1264
_cell_length_b 13.1264
_cell_length_c 12.5103
_cell_angle_alpha 90.00
_cell_angle_beta 90.00
_cell_angle_gamma 120.00
_symmetry_space_group_name_H-M 'R -3 m'
_symmetry_Int_Tables_number 166
_symmetry_space_group_name_Hall '-R 3 2"'
loop_
_atom_site_label
_atom_site_type_symbol
_atom_site_fract_x
_atom_site_fract_y
_atom_site_fract_z
Pm1 Pm 0.0382 0.5191 0.1175
Ho1 Ho 0.0000 0.0000 0.5000
Tm1 Tm 0.0000 0.2563 0.0000
Tm2 Tm 0.0911 0.1821 0.7634
```

Calculated values
* offset from the most stable computed form: 96 meV/atom
* crystal system: trigonal
* DFT formation energy: 0.221 eV per atom
* VASP energy: -4.344 eV per atom

No. 9
Here is a geometry-optimized PmHo7Tm5 structure from Alexandria. Energies are from PBE.

CIF file:
```
data_PmHo7Tm5
_chemical_formula_sum 'Pm2 Ho14 Tm10'
_cell_length_a 6.638
_cell_length_b 11.057
_cell_length_c 11.439
_cell_angle_alpha 90.00
_cell_angle_beta 90.00
_cell_angle_gamma 90.00
_symmetry_space_group_name_H-M 'I m m 2'
_symmetry_Int_Tables_number 44
loop_
_symmetry_equiv_pos_as_xyz
'x,y,z'
'-x,-y,z'
'-x,y,z'
'x,-y,z'
'x+1/2,y+1/2,z+1/2'
'-x+1/2,-y+1/2,z+1/2'
'-x+1/2,y+1/2,z+1/2'
'x+1/2,-y+1/2,z+1/2'
loop_
_atom_site_label
_atom_site_type_symbol
_atom_site_fract_x
_atom_site_fract_y
_atom_site_fract_z
Pm1 Pm 0.000 0.000 0.000
Ho1 Ho 0.000 0.000 0.304
Ho2 Ho 0.000 0.000 0.612
Ho3 Ho 0.000 0.328 0.053
Ho4 Ho 0.000 0.328 0.553
Ho5 Ho 0.000 0.500 0.301
Tm1 Tm 0.000 0.500 0.804
Tm2 Tm 0.235 0.230 0.802
```

Calculated values
* crystal system: orthorhombic
* DFT formation energy: 0.254 eV per atom
* VASP energy: -4.296 eV per atom

No. 10
Here is a geometry-optimized Pm4HoTm15 structure from Alexandria. Energies are from PBE.

CIF file:
```
data_Pm4HoTm15
_chemical_formula_sum 'Pm4 Ho1 Tm15'
_cell_length_a 4.984
_cell_length_b 4.984
_cell_length_c 24.844
_cell_angle_alpha 90.00
_cell_angle_beta 90.00
_cell_angle_gamma 90.00
_symmetry_space_group_name_H-M 'P 4/m m m'
_symmetry_Int_Tables_number 123
_symmetry_space_group_name_Hall '-P 4 2'
loop_
_atom_site_label
_atom_site_type_symbol
_atom_site_fract_x
_atom_site_fract_y
_atom_site_fract_z
Pm1 Pm 0.000 0.000 0.100
Pm2 Pm 0.000 0.000 0.301
Ho1 Ho 0.000 0.000 0.500
Tm1 Tm 0.000 0.500 0.000
Tm2 Tm 0.000 0.500 0.201
Tm3 Tm 0.000 0.500 0.401
Tm4 Tm 0.500 0.500 0.100
Tm5 Tm 0.500 0.500 0.301
Tm6 Tm 0.500 0.500 0.500
```

Calculated values
* crystal system: tetragonal
* DFT formation energy: 0.026 eV per atom
* VASP energy: -4.507 eV per atom

No. 11
Here is a geometry-optimized Pm10HoTm6 structure from Alexandria. Energies are from PBE.

CIF file:
```
data_Pm10HoTm6
_chemical_formula_sum 'Pm10 Ho1 Tm6'
_cell_length_a 9.7520
_cell_length_b 9.7520
_cell_length_c 6.8488
_cell_angle_alpha 90.00
_cell_angle_beta 90.00
_cell_angle_gamma 120.00
_symmetry_space_group_name_H-M 'P -3 1 m'
_symmetry_Int_Tables_number 162
_symmetry_space_group_name_Hall '-P 3 2'
loop_
_atom_site_label
_atom_site_type_symbol
_atom_site_fract_x
_atom_site_fract_y
_atom_site_fract_z
Pm1 Pm 0.0000 0.2759 0.3170
Pm2 Pm 0.3333 0.6667 0.0000
Pm3 Pm 0.3333 0.6667 0.5000
Ho1 Ho 0.0000 0.0000 0.0000
Tm1 Tm 0.0000 0.3694 0.8119
```

Calculated values
* crystal system: trigonal
* DFT formation energy: 0.128 eV per atom
* VASP energy: -4.514 eV per atom

No. 12
Here is a geometry-optimized Pm6Ho5Tm structure from Alexandria. Energies are from PBE.

CIF file:
```
data_Pm6Ho5Tm
_chemical_formula_sum 'Pm12 Ho10 Tm2'
_cell_length_a 5.087
_cell_length_b 10.063
_cell_length_c 15.240
_cell_angle_alpha 90.00
_cell_angle_beta 90.00
_cell_angle_gamma 90.00
_symmetry_space_group_name_H-M 'I m m m'
_symmetry_Int_Tables_number 71
_symmetry_space_group_name_Hall '-I 2 2'
loop_
_atom_site_label
_atom_site_type_symbol
_atom_site_fract_x
_atom_site_fract_y
_atom_site_fract_z
Pm1 Pm 0.000 0.249 0.000
Pm2 Pm 0.000 0.250 0.333
Ho1 Ho 0.000 0.000 0.167
Ho2 Ho 0.000 0.000 0.500
Ho3 Ho 0.000 0.500 0.167
Tm1 Tm 0.000 0.500 0.500
```

Calculated values
* crystal system: orthorhombic
* DFT formation energy: 0.017 eV per atom
* VASP energy: -4.639 eV per atom

> Look up the DFT formation energy of the tenth one.

0.026 eV per atom